# 1
# K2BiSb3Pd4 (GGA-PBE, optimized geometry)
# Space-group type: P-4m2
# Raw formation energy, kJ/mol of atoms: -42
# Energy, eV per formula unit: -43.59
data_K2BiSb3Pd4
_symmetry_space_group_name_H-M 'P 1'
_symmetry_Int_Tables_number 1
_cell_length_a 4.7875
_cell_length_b 4.7875
_cell_length_c 10.8607
_cell_angle_alpha 90.00
_cell_angle_beta 90.00
_cell_angle_gamma 90.00
loop_
_symmetry_equiv_pos_as_xyz
'x,y,z'
loop_
_atom_site_label
_atom_site_fract_x
_atom_site_fract_y
_atom_site_fract_z
K1 0.0000 0.5000 0.2431
K2 0.5000 0.0000 0.7569
Bi1 0.0000 0.0000 0.5000
Sb1 0.0000 0.5000 0.8825
Sb2 0.5000 0.0000 0.1175
Sb3 0.5000 0.5000 0.5000
Pd1 0.0000 0.0000 0.0000
Pd2 0.0000 0.5000 0.6337
Pd3 0.5000 0.0000 0.3663
Pd4 0.5000 0.5000 0.0000

=====

# 2
# K2Sn3BiPd4 (GGA-PBE, optimized geometry)
# Space-group type: P-4m2
# Formation energy, eV/atom: -0.399
# Energy, eV per formula unit: -42.84
data_K2Sn3BiPd4
_symmetry_space_group_name_H-M 'P 1'
_symmetry_Int_Tables_number 1
_cell_length_a 4.8404
_cell_length_b 4.8404
_cell_length_c 10.6696
_cell_angle_alpha 90.00
_cell_angle_beta 90.00
_cell_angle_gamma 90.00
loop_
_symmetry_equiv_pos_as_xyz
'x,y,z'
loop_
_atom_site_label
_atom_site_fract_x
_atom_site_fract_y
_atom_site_fract_z
K1 0.0000 0.5000 0.2416
K2 0.5000 0.0000 0.7584
Sn1 0.0000 0.5000 0.8873
Sn2 0.5000 0.0000 0.1127
Sn3 0.5000 0.5000 0.5000
Bi1 0.0000 0.0000 0.5000
Pd1 0.0000 0.0000 0.0000
Pd2 0.0000 0.5000 0.6330
Pd3 0.5000 0.0000 0.3670
Pd4 0.5000 0.5000 0.0000

=====

# 3
# K2Tl3BiPd4 (GGA-PBE, optimized geometry)
# Space-group type: P-4m2
# Formation energy, eV/atom: -0.185
# Energy, eV per formula unit: -35.79
data_K2Tl3BiPd4
_symmetry_space_group_name_H-M 'P 1'
_symmetry_Int_Tables_number 1
_cell_length_a 4.8204
_cell_length_b 4.8204
_cell_length_c 11.2963
_cell_angle_alpha 90.00
_cell_angle_beta 90.00
_cell_angle_gamma 90.00
loop_
_symmetry_equiv_pos_as_xyz
'x,y,z'
loop_
_atom_site_label
_atom_site_fract_x
_atom_site_fract_y
_atom_site_fract_z
K1 0.0000 0.5000 0.2388
K2 0.5000 0.0000 0.7612
Tl1 0.0000 0.5000 0.8733
Tl2 0.5000 0.0000 0.1267
Tl3 0.5000 0.5000 0.5000
Bi1 0.0000 0.0000 0.5000
Pd1 0.0000 0.0000 0.0000
Pd2 0.0000 0.5000 0.6285
Pd3 0.5000 0.0000 0.3715
Pd4 0.5000 0.5000 0.0000

=====

# 4
# K3Tl4Bi2Pd2 (GGA-PBE, optimized geometry)
# Space-group type: P-3m1
# Formation energy, eV/atom: -0.075
# Energy, eV per formula unit: -31.73
data_K3Tl4Bi2Pd2
_symmetry_space_group_name_H-M 'P 1'
_symmetry_Int_Tables_number 1
_cell_length_a 4.8761
_cell_length_b 4.8761
_cell_length_c 18.6153
_cell_angle_alpha 90.00
_cell_angle_beta 90.00
_cell_angle_gamma 120.00
loop_
_symmetry_equiv_pos_as_xyz
'x,y,z'
loop_
_atom_site_label
_atom_site_fract_x
_atom_site_fract_y
_atom_site_fract_z
K1 0.0000 0.0000 0.0000
K2 0.0000 0.0000 0.3018
K3 0.0000 0.0000 0.6982
Tl1 0.3333 0.6667 0.4339
Tl2 0.3333 0.6667 0.8858
Tl3 0.6667 0.3333 0.1142
Tl4 0.6667 0.3333 0.5661
Bi1 0.3333 0.6667 0.1762
Bi2 0.6667 0.3333 0.8238
Pd1 0.3333 0.6667 0.5837
Pd2 0.6667 0.3333 0.4163